Density functional theory data (GGA-PBEsol) for a geometry-optimized YTl7 structure.

a b c (Å): 6.712 6.712 6.712
angles (deg): 60.00 60.00 60.00
Sites, in units of the cell vectors:
1 Tl 0.000 0.000 0.500
2 Tl 0.000 0.500 0.000
3 Tl 0.500 0.000 0.000
4 Tl 0.500 0.500 0.000
5 Tl 0.500 0.000 0.500
6 Tl 0.000 0.500 0.500
7 Tl 0.500 0.500 0.500
8 Y 0.000 0.000 0.000

Results
As for the total magnetization: 0.00 μB/f.u. Its space group is Fm-3m. For the density of states at the Fermi level, the calculation gives 0.500 states/eV/atom. The value obtained for the calculated formation energy is -130 meV/atom. The total DFT energy (no corrections) comes out at -3.28 eV per atom.